1.
{
  "formula": "TaSiTc2",
  "functional": "PBE",
  "state": "relaxed",
  "lattice_angstrom": [[-0.612, -3.697, 3.247], [4.329, -1.249, 2.070], [-3.211, 3.739, -0.534]],
  "species": ["Si", "Ta", "Tc", "Tc"],
  "fractional_positions": [[0.750, 0.250, 0.500], [0.250, 0.750, 0.500], [0.985, 0.985, 0.000], [0.515, 0.515, 0.000]],
  "total_energy_ev_per_atom": -9.758,
  "e_form_raw_ev_per_atom": -0.2560,
  "space_group": "No. 71",
  "rho_g_cm3": 11.2,
  "dos_at_fermi_per_ev_atom": 0.795
}

***

2.
{
  "formula": "Ca2InSbAs",
  "functional": "PBE",
  "state": "relaxed",
  "lattice_angstrom": [[4.390, 0.000, 0.000], [0.000, 8.420, -0.650], [0.000, -4.185, 7.906]],
  "species": ["Ca", "Ca", "Ca", "Ca", "In", "In", "Sb", "Sb", "As", "As"],
  "fractional_positions": [[0.750, 0.716, 0.550], [0.750, 0.864, 0.067], [0.250, 0.284, 0.450], [0.250, 0.136, 0.933], [0.250, 0.470, 0.875], [0.750, 0.530, 0.125], [0.250, 0.847, 0.358], [0.750, 0.153, 0.642], [0.250, 0.723, 0.779], [0.750, 0.277, 0.221]],
  "total_energy_ev_per_atom": -3.888,
  "e_form_raw_ev_per_atom": -0.7852,
  "space_group": "No. 11",
  "rho_g_cm3": 4.6,
  "dos_at_fermi_per_ev_atom": 0.232
}

***

3.
{
  "formula": "SmTiZn2",
  "functional": "PBE",
  "state": "relaxed",
  "lattice_angstrom": [[-0.984, 0.465, 3.120], [2.000, -0.814, 2.501], [3.796, 8.006, 1.752]],
  "species": ["Zn", "Zn", "Sm", "Ti"],
  "fractional_positions": [[0.740, 0.740, 0.781], [0.260, 0.260, 0.219], [0.500, 0.500, 0.500], [0.000, 0.000, 0.000]],
  "total_energy_ev_per_atom": -3.711,
  "relative_energy_kcal_per_mol_atoms": 6.08,
  "space_group": "No. 166",
  "formation_enthalpy_0k_kj_per_mol_fu": 30.7,
  "rho_g_cm3": 6.5,
  "dos_at_fermi_per_ev_atom": 0.998
}

***

4.
{
  "formula": "YBF3",
  "functional": "PBE",
  "state": "relaxed",
  "lattice_angstrom": [[4.044, 0.000, 0.000], [0.000, 4.044, 0.000], [0.000, 0.000, 4.044]],
  "species": ["Y", "B", "F", "F", "F"],
  "fractional_positions": [[0.500, 0.500, 0.500], [0.000, 0.000, 0.000], [0.000, 0.500, 0.000], [0.000, 0.000, 0.500], [0.500, 0.000, 0.000]],
  "total_energy_ev_per_atom": -4.956,
  "e_form_raw_ev_per_atom": -1.2046,
  "relative_energy_kcal_per_mol_atoms": 19.19,
  "space_group": "No. 221",
  "rho_g_cm3": 3.9,
  "dos_at_fermi_per_ev_atom": 0.510
}

***

5.
{
  "formula": "Li3AgSb",
  "functional": "PBE",
  "state": "relaxed",
  "lattice_angstrom": [[-1.357, -4.881, 0.818], [4.022, -0.594, 3.132], [-2.884, 1.469, 3.982]],
  "species": ["Sb", "Ag", "Li", "Li", "Li"],
  "fractional_positions": [[0.000, 0.000, 0.000], [0.500, 0.500, 0.500], [0.000, 0.500, 0.000], [0.000, 0.000, 0.500], [0.500, 0.000, 0.000]],
  "total_energy_ev_per_atom": -2.587,
  "e_form_raw_ev_per_atom": -0.0437,
  "relative_energy_kcal_per_mol_atoms": 8.22,
  "space_group": "No. 221",
  "rho_g_cm3": 3.1,
  "dos_at_fermi_per_ev_atom": 0.409
}

***

6.
{
  "formula": "SrAsPCl2",
  "functional": "PBE",
  "state": "relaxed",
  "lattice_angstrom": [[-4.411, 0.851, 2.530], [-0.780, -5.084, 0.351], [2.406, -0.078, 4.220]],
  "species": ["Sr", "As", "P", "Cl", "Cl"],
  "fractional_positions": [[0.500, 0.500, 0.500], [0.000, 0.000, 0.000], [0.000, 0.000, 0.500], [0.000, 0.500, 0.000], [0.500, 0.000, 0.000]],
  "total_energy_ev_per_atom": -3.747,
  "e_form_raw_ev_per_atom": -0.6598,
  "relative_energy_kcal_per_mol_atoms": 0.00,
  "space_group": "No. 123",
  "rho_g_cm3": 3.4,
  "dos_at_fermi_per_ev_atom": 0.222
}

***

Please write out number 4 again, unchanged.
{
  "formula": "YBF3",
  "functional": "PBE",
  "state": "relaxed",
  "lattice_angstrom": [[4.044, 0.000, 0.000], [0.000, 4.044, 0.000], [0.000, 0.000, 4.044]],
  "species": ["Y", "B", "F", "F", "F"],
  "fractional_positions": [[0.500, 0.500, 0.500], [0.000, 0.000, 0.000], [0.000, 0.500, 0.000], [0.000, 0.000, 0.500], [0.500, 0.000, 0.000]],
  "total_energy_ev_per_atom": -4.956,
  "e_form_raw_ev_per_atom": -1.2046,
  "relative_energy_kcal_per_mol_atoms": 19.19,
  "space_group": "No. 221",
  "rho_g_cm3": 3.9,
  "dos_at_fermi_per_ev_atom": 0.510
}